# Ac4La7Tb

An optimized crystal structure of Ac4La7Tb (PBE-GGA, the Alexandria database).

Summary:
- Calculated volume: 472 Å³/cell
- Total energy: -4.6040 eV/atom
- Mass density: 7.2 g cm⁻³
- DFT formation energy: 0.026 eV/atom

Geometry as CIF:
```
data_Ac4La7Tb
_space_group_name_H-M_alt 'P -1'
_space_group_IT_number 2
_space_group_name_Hall '-P 1'
_cell_length_a 6.6551
_cell_length_b 7.6665
_cell_length_c 9.5143
_cell_angle_alpha 90.08
_cell_angle_beta 103.51
_cell_angle_gamma 90.08
loop_
_atom_site_label
_atom_site_fract_x
_atom_site_fract_y
_atom_site_fract_z
Ac1 0.2221 0.2405 0.1724
Ac2 0.2713 0.5001 0.8288
La1 0.0024 0.7574 0.4963
La2 0.2260 0.7544 0.1748
La3 0.2819 0.0010 0.8279
La4 0.5000 0.5000 0.5000
Tb1 0.5000 0.0000 0.5000
```


# Ac8La2Tb

An optimized crystal structure of Ac8La2Tb (PBE-GGA, the Alexandria database).

Summary:
- Calculated volume: 1033 Å³/cell
- Total energy: -3.9473 eV/atom
- Energy relative to the lowest polymorph listed for this composition: 244 meV per atom
- Mass density: 7.2 g cm⁻³
- DFT formation energy: 0.358 eV/atom

Geometry as CIF:
```
data_Ac8La2Tb
_space_group_name_H-M_alt 'C 1 2/m 1'
_space_group_IT_number 12
_space_group_name_Hall '-C 2y'
_cell_length_a 13.3474
_cell_length_b 12.6167
_cell_length_c 6.3424
_cell_angle_alpha 90.00
_cell_angle_beta 104.65
_cell_angle_gamma 90.00
loop_
_atom_site_label
_atom_site_fract_x
_atom_site_fract_y
_atom_site_fract_z
Ac1 0.0839 0.0000 0.2929
Ac2 0.1006 0.2576 0.8049
Ac3 0.2316 0.0000 0.8853
La1 0.1317 0.5000 0.5101
Tb1 0.0000 0.5000 0.0000
```


# AcLaTb

An optimized crystal structure of AcLaTb (PBE-GGA, the Alexandria database).

Summary:
- Calculated volume: 113 Å³/cell
- Total energy: -4.5003 eV/atom
- Energy relative to the lowest polymorph listed for this composition: 15 meV per atom
- Mass density: 7.7 g cm⁻³
- DFT formation energy: 0.055 eV/atom

Geometry as CIF:
```
data_AcLaTb
_space_group_name_H-M_alt 'P -6 m 2'
_space_group_IT_number 187
_space_group_name_Hall 'P -6 2'
_cell_length_a 5.9107
_cell_length_b 5.9107
_cell_length_c 3.7189
_cell_angle_alpha 90.00
_cell_angle_beta 90.00
_cell_angle_gamma 120.00
loop_
_atom_site_label
_atom_site_fract_x
_atom_site_fract_y
_atom_site_fract_z
Ac1 0.0000 0.0000 0.0000
La1 0.3333 0.6667 0.5000
Tb1 0.6667 0.3333 0.5000
```


# Ac2LaTb6

An optimized crystal structure of Ac2LaTb6 (PBE-GGA, the Alexandria database).

Summary:
- Calculated volume: 320 Å³/cell
- Total energy: -4.4209 eV/atom
- Mass density: 8.0 g cm⁻³
- DFT formation energy: 0.126 eV/atom

Geometry as CIF:
```
data_Ac2LaTb6
_space_group_name_H-M_alt 'P -3'
_space_group_IT_number 147
_space_group_name_Hall '-P 3'
_cell_length_a 10.0787
_cell_length_b 10.0787
_cell_length_c 3.6389
_cell_angle_alpha 90.00
_cell_angle_beta 90.00
_cell_angle_gamma 120.00
loop_
_atom_site_label
_atom_site_fract_x
_atom_site_fract_y
_atom_site_fract_z
Ac1 0.3333 0.6667 0.2698
La1 0.0000 0.0000 0.5000
Tb1 0.0199 0.6748 0.7748
```


# AcLa8Tb3

An optimized crystal structure of AcLa8Tb3 (PBE-GGA, the Alexandria database).

Summary:
- Calculated volume: 933 Å³/cell
- Total energy: -4.4788 eV/atom
- Mass density: 6.5 g cm⁻³
- DFT formation energy: 0.306 eV/atom

Geometry as CIF:
```
data_AcLa8Tb3
_space_group_name_H-M_alt 'C 1 2/m 1'
_space_group_IT_number 12
_space_group_name_Hall '-C 2y'
_cell_length_a 13.6256
_cell_length_b 11.6206
_cell_length_c 6.7922
_cell_angle_alpha 90.00
_cell_angle_beta 119.82
_cell_angle_gamma 90.00
loop_
_atom_site_label
_atom_site_fract_x
_atom_site_fract_y
_atom_site_fract_z
Ac1 0.0000 0.0000 0.0000
La1 0.0009 0.2825 0.7808
La2 0.2452 0.3243 0.7454
Tb1 0.0000 0.5000 0.5000
Tb2 0.2193 0.5000 0.2191
```


# Ac5La12Tb2

An optimized crystal structure of Ac5La12Tb2 (PBE-GGA, the Alexandria database).

Summary:
- Calculated volume: 1466 Å³/cell
- Total energy: -4.5913 eV/atom
- Mass density: 7.1 g cm⁻³
- DFT formation energy: 0.089 eV/atom

Geometry as CIF:
```
data_Ac5La12Tb2
_space_group_name_H-M_alt 'C 1 2/m 1'
_space_group_IT_number 12
_space_group_name_Hall '-C 2y'
_cell_length_a 18.6918
_cell_length_b 12.3644
_cell_length_c 6.4939
_cell_angle_alpha 90.00
_cell_angle_beta 102.44
_cell_angle_gamma 90.00
loop_
_atom_site_label
_atom_site_fract_x
_atom_site_fract_y
_atom_site_fract_z
Ac1 0.0000 0.0000 0.0000
Ac2 0.1728 0.5000 0.3591
Ac3 0.2154 0.0000 0.0673
La1 0.0508 0.5000 0.7723
La2 0.1003 0.2576 0.1160
La3 0.1192 0.0000 0.5033
La4 0.1970 0.2460 0.6953
Tb1 0.0000 0.2299 0.5000
```


# Ac3La2Tb

An optimized crystal structure of Ac3La2Tb (PBE-GGA, the Alexandria database).

Summary:
- Calculated volume: 970 Å³/cell
- Total energy: -4.3690 eV/atom
- Energy relative to the lowest polymorph listed for this composition: 47 meV per atom
- Mass density: 7.7 g cm⁻³
- DFT formation energy: 0.099 eV/atom

Geometry as CIF:
```
data_Ac3La2Tb
_space_group_name_H-M_alt 'C 1 2/c 1'
_space_group_IT_number 15
_space_group_name_Hall '-C 2yc'
_cell_length_a 9.6215
_cell_length_b 10.7665
_cell_length_c 9.5629
_cell_angle_alpha 90.00
_cell_angle_beta 101.73
_cell_angle_gamma 90.00
loop_
_atom_site_label
_atom_site_fract_x
_atom_site_fract_y
_atom_site_fract_z
Ac1 0.0000 0.0684 0.2500
Ac2 0.2211 0.4170 0.9833
La1 0.1332 0.2486 0.6184
Tb1 0.0000 0.3904 0.2500
```


# Ac12La7Tb

An optimized crystal structure of Ac12La7Tb (PBE-GGA, the Alexandria database).

Summary:
- Calculated volume: 1854 Å³/cell
- Total energy: -3.8257 eV/atom
- Energy relative to the lowest polymorph listed for this composition: 473 meV per atom
- Mass density: 6.9 g cm⁻³
- DFT formation energy: 0.595 eV/atom

Geometry as CIF:
```
data_Ac12La7Tb
_space_group_name_H-M_alt 'I m -3'
_space_group_IT_number 204
_space_group_name_Hall '-I 2 2 3'
_cell_length_a 12.2841
_cell_length_b 12.2841
_cell_length_c 12.2841
_cell_angle_alpha 90.00
_cell_angle_beta 90.00
_cell_angle_gamma 90.00
loop_
_atom_site_label
_atom_site_fract_x
_atom_site_fract_y
_atom_site_fract_z
Ac1 0.0000 0.2703 0.1993
La1 0.0000 0.0000 0.5000
La2 0.2500 0.2500 0.2500
Tb1 0.0000 0.0000 0.0000
```


# Ac3La6Tb2

An optimized crystal structure of Ac3La6Tb2 (PBE-GGA, the Alexandria database).

Summary:
- Calculated volume: 1263 Å³/cell
- Total energy: -4.6146 eV/atom
- Mass density: 7.2 g cm⁻³
- DFT formation energy: 0.035 eV/atom

Geometry as CIF:
```
data_Ac3La6Tb2
_space_group_name_H-M_alt 'R -3 m'
_space_group_IT_number 166
_space_group_name_Hall '-R 3 2"'
_cell_length_a 3.7896
_cell_length_b 3.7896
_cell_length_c 101.5246
_cell_angle_alpha 90.00
_cell_angle_beta 90.00
_cell_angle_gamma 120.00
loop_
_atom_site_label
_atom_site_fract_x
_atom_site_fract_y
_atom_site_fract_z
Ac1 0.0000 0.0000 0.0000
Ac2 0.0000 0.0000 0.2708
La1 0.0000 0.0000 0.0941
La2 0.0000 0.0000 0.1817
La3 0.0000 0.0000 0.3646
Tb1 0.0000 0.0000 0.4561
```


# Ac6La2Tb3

An optimized crystal structure of Ac6La2Tb3 (PBE-GGA, the Alexandria database).

Summary:
- Calculated volume: 921 Å³/cell
- Total energy: -4.2195 eV/atom
- Mass density: 7.6 g cm⁻³
- DFT formation energy: 0.180 eV/atom

Geometry as CIF:
```
data_Ac6La2Tb3
_space_group_name_H-M_alt 'C 1 2/m 1'
_space_group_IT_number 12
_space_group_name_Hall '-C 2y'
_cell_length_a 6.6328
_cell_length_b 11.4888
_cell_length_c 12.2851
_cell_angle_alpha 90.00
_cell_angle_beta 100.31
_cell_angle_gamma 90.00
loop_
_atom_site_label
_atom_site_fract_x
_atom_site_fract_y
_atom_site_fract_z
Ac1 0.2480 0.0000 0.2480
Ac2 0.2489 0.3336 0.2468
La1 0.0000 0.3330 0.5000
Tb1 0.0000 0.1658 0.0000
Tb2 0.0000 0.5000 0.0000
```


# AcLa2Tb7

An optimized crystal structure of AcLa2Tb7 (PBE-GGA, the Alexandria database).

Summary:
- Calculated volume: 342 Å³/cell
- Total energy: -4.6045 eV/atom
- Mass density: 7.9 g cm⁻³
- DFT formation energy: 0.033 eV/atom

Geometry as CIF:
```
data_AcLa2Tb7
_space_group_name_H-M_alt 'P -1'
_space_group_IT_number 2
_space_group_name_Hall '-P 1'
_cell_length_a 6.2947
_cell_length_b 7.2913
_cell_length_c 8.1372
_cell_angle_alpha 77.53
_cell_angle_beta 75.13
_cell_angle_gamma 73.30
loop_
_atom_site_label
_atom_site_fract_x
_atom_site_fract_y
_atom_site_fract_z
Ac1 0.0000 0.0000 0.0000
La1 0.2018 0.3022 0.5975
Tb1 0.0000 0.5000 0.0000
Tb2 0.2006 0.7990 0.5983
Tb3 0.3990 0.1024 0.2001
Tb4 0.4032 0.5978 0.1991
```


# AcLa4Tb7

An optimized crystal structure of AcLa4Tb7 (PBE-GGA, the Alexandria database).

Summary:
- Calculated volume: 872 Å³/cell
- Total energy: -4.4169 eV/atom
- Mass density: 7.2 g cm⁻³
- DFT formation energy: 0.269 eV/atom

Geometry as CIF:
```
data_AcLa4Tb7
_space_group_name_H-M_alt 'C 1 2/m 1'
_space_group_IT_number 12
_space_group_name_Hall '-C 2y'
_cell_length_a 12.4109
_cell_length_b 6.1628
_cell_length_c 12.9206
_cell_angle_alpha 90.00
_cell_angle_beta 118.06
_cell_angle_gamma 90.00
loop_
_atom_site_label
_atom_site_fract_x
_atom_site_fract_y
_atom_site_fract_z
Ac1 0.0000 0.0000 0.0000
La1 0.0646 0.5000 0.3267
La2 0.1445 0.0000 0.7764
Tb1 0.0000 0.5000 0.0000
Tb2 0.1339 0.0000 0.5003
Tb3 0.2059 0.5000 0.9225
Tb4 0.2319 0.5000 0.6712
```